# 1
Ac12Tl5Zn2 (PBE, relaxed); ΔE_f = -91.6 meV/atom; calculated total energy = -3.443 eV/atom
1.0
9.140 -4.128 0.000
9.140 4.128 0.000
-1.374 0.000 10.320
Ac Tl Zn
12 5 2
Cartesian
-0.132 0.000 3.048
4.853 2.011 9.152
5.876 2.034 4.331
11.030 2.034 5.990
12.053 2.011 1.169
8.430 0.000 1.749
8.476 0.000 8.571
4.853 -2.011 9.152
5.876 -2.034 4.331
11.030 -2.034 5.990
12.053 -2.011 1.169
17.038 0.000 7.273
1.875 0.000 8.799
3.281 0.000 3.752
8.453 0.000 5.160
13.625 0.000 6.568
15.031 0.000 1.522
9.140 2.818 0.000
9.140 -2.818 0.000

---

# 2
AcTlZn2 (PBE, relaxed); ΔE_f = -75.0 meV/atom; calculated total energy = -2.331 eV/atom
1.0
3.786 0.000 0.000
0.000 3.786 0.000
0.000 0.000 7.277
Ac Tl Zn
1 1 2
Cartesian
0.000 0.000 0.000
0.000 0.000 3.639
1.893 1.893 2.065
1.893 1.893 5.213